1.
Material: Ac2YAu6
Method: DFT, PBE-GGA
State: optimized geometry

The value obtained for the energy of formation from the pure elements is -771 meV/atom. The calculation puts the calculated total energy at -4.59 eV per atom. As for the density of states at the Fermi level: 0.74 states/eV per atom.

It has space group P6/mmm (No. 191), with a = 8.3556 Å, b = 8.3556 Å, c = 3.7313 Å, α = 90.00°, β = 90.00° and γ = 120.00°. Symmetry generates all atoms from Ac at (0.3333, 0.6667, 0.0000), Y at (0.0000, 0.0000, 0.0000) and Au at (0.0000, 0.3295, 0.5000).

---

2.
Material: CsNaCdTe2
Method: DFT, PBE-GGA
State: optimized geometry

For the uncorrected formation energy, the calculation gives -3.8 eV per formula unit. The calculation puts the calculated total energy at -2.63 eV per atom. As for the density of states at the Fermi level: 0.00 states/eV per atom.

It has space group Cmme (No. 67), with a = 7.0677 Å, b = 16.4624 Å, c = 7.1021 Å, α = 90.00°, β = 90.00° and γ = 90.00°. Symmetry generates all atoms from Cs at (0.0000, 0.2500, 0.2286), Na at (0.2500, 0.0000, 0.5000), Cd at (0.0000, 0.0000, 0.0000) and Te at (0.0000, 0.1186, 0.7444).

---

3.
Material: PuZr2Ni
Method: DFT, PBE-GGA
State: optimized geometry

The value obtained for the energy of formation from the pure elements is 174 meV/atom. The calculation puts the calculated total energy at -9.13 eV per atom. As for the density of states at the Fermi level: 2.30 states/eV per atom. As for the energy above the most stable polymorph in this dataset: 1.13 eV/f.u.

It has space group R3m (No. 160, hexagonal axes), with a = 4.2345 Å, b = 4.2345 Å, c = 17.2683 Å, α = 90.00°, β = 90.00° and γ = 120.00°. Symmetry generates all atoms from Pu at (0.0000, 0.0000, 0.0000), Zr at (0.0000, 0.0000, 0.5637), Zr at (0.0000, 0.0000, 0.7802) and Ni at (0.0000, 0.0000, 0.1814).

---

4.
Material: Pr6Sm4Th
Method: DFT, PBE-GGA
State: optimized geometry

The value obtained for the energy of formation from the pure elements is 135 meV/atom. The calculation puts the calculated total energy at -4.86 eV per atom. As for the density of states at the Fermi level: 1.60 states/eV per atom.

It has space group Cmcm (No. 63), with a = 6.0025 Å, b = 9.8113 Å, c = 26.1752 Å, α = 90.00°, β = 90.00° and γ = 90.00°. Symmetry generates all atoms from Pr at (0.0000, 0.0000, 0.0000), Pr at (0.0000, 0.0634, 0.2500), Pr at (0.0000, 0.2930, 0.6019), Pr at (0.0000, 0.3902, 0.1821), Sm at (0.0000, 0.0564, 0.1232), Sm at (0.0000, 0.3530, 0.0431) and Th at (0.0000, 0.2785, 0.7500).

---

5.
Material: SiTe8
Method: DFT, PBE-GGA
State: optimized geometry

For the uncorrected formation energy, the calculation gives 3.1 eV per formula unit. The calculation puts the calculated total energy at -3.05 eV per atom. As for the density of states at the Fermi level: 0.69 states/eV per atom.

It has space group I4/mmm (No. 139), with a = 11.5430 Å, b = 11.5430 Å, c = 3.7351 Å, α = 90.00°, β = 90.00° and γ = 90.00°. Symmetry generates all atoms from Si at (0.0000, 0.0000, 0.0000), Te at (0.0000, 0.3295, 0.0000) and Te at (0.1492, 0.1492, 0.5000).

---

6.
Material: Ca2InPt
Method: DFT, PBE-GGA
State: optimized geometry

The value obtained for the energy of formation from the pure elements is -379 meV/atom. The calculation puts the calculated total energy at -3.58 eV per atom. As for the density of states at the Fermi level: 0.82 states/eV per atom.

It has space group I-42d (No. 122), with a = 8.4307 Å, b = 8.4307 Å, c = 6.2841 Å, α = 90.00°, β = 90.00° and γ = 90.00°. Symmetry generates all atoms from Ca at (0.1908, 0.2500, 0.1250), In at (0.0000, 0.0000, 0.5000) and Pt at (0.0000, 0.0000, 0.0000).

---

7.
Material: BeReTe
Method: DFT, PBE-GGA
State: optimized geometry

For the uncorrected formation energy, the calculation gives 1.8 eV per formula unit. The calculation puts the calculated total energy at -5.82 eV per atom. As for the density of states at the Fermi level: 0.61 states/eV per atom. As for the energy above the most stable polymorph in this dataset: 0.41 eV/f.u.

It has space group P3m1 (No. 156), with a = 3.1398 Å, b = 3.1398 Å, c = 5.9390 Å, α = 90.00°, β = 90.00° and γ = 120.00°. Symmetry generates all atoms from Be at (0.0000, 0.0000, 0.0000), Re at (0.3333, 0.6667, 0.2760) and Te at (0.6667, 0.3333, 0.6114).

---

8.
Material: Mg2MnOs
Method: DFT, PBE-GGA
State: optimized geometry

The value obtained for the energy of formation from the pure elements is 360 meV/atom. The calculation puts the calculated total energy at -5.54 eV per atom. As for the density of states at the Fermi level: 1.15 states/eV per atom. As for the energy above the most stable polymorph in this dataset: 1.10 eV/f.u.

It has space group P4/mmm (No. 123), with a = 2.7792 Å, b = 2.7792 Å, c = 8.4469 Å, α = 90.00°, β = 90.00° and γ = 90.00°. Symmetry generates all atoms from Mg at (0.0000, 0.0000, 0.2413), Mn at (0.5000, 0.5000, 0.5000) and Os at (0.5000, 0.5000, 0.0000).